Record 1
KRbHg2Pt | Alexandria via LeMat-Bulk | PBE | relaxed; DFT formation energy = -191 meV/atom; mass density = 6.84 Mg/m³; D(E_F) = 1.924 states/eV per cell; polymorph energy (0 for the lowest one) = 0 meV/atom; total magnetic moment = 0.000 μB/f.u.
1.0
-3.649 0.506 -4.033
-2.235 -4.777 1.423
-3.643 2.790 3.646
Pt Hg Rb K
1 2 1 1
Direct
0.000 0.000 0.000
0.000 0.500 0.000
0.500 0.000 0.000
0.500 0.500 0.500
0.000 0.000 0.500

Record 2
Zn2InPt | Alexandria via LeMat-Bulk | PBE | relaxed; DFT formation energy = -194 meV/atom; mass density = 11.06 Mg/m³; D(E_F) = 1.929 states/eV per cell; total magnetic moment = 0.000 μB/f.u.
1.0
4.050 0.000 0.000
0.000 4.033 0.000
0.000 0.000 4.051
Pt In Zn
1 1 2
Direct
0.000 0.500 0.500
0.500 0.000 0.500
0.000 0.000 0.000
0.500 0.500 0.000

Record 3
NaTe2PdN | Alexandria via LeMat-Bulk | PBE | relaxed; mass density = 5.39 Mg/m³; D(E_F) = 3.593 states/eV per cell; polymorph energy (0 for the lowest one) = 0 meV/atom; E_form (uncorrected) = 0.2846 eV per atom; total magnetic moment = 0.000 μB/f.u.
1.0
-0.441 -2.664 5.106
-1.660 -4.845 -2.671
3.511 -1.064 -0.252
Na N Te Pd
1 1 2 1
Direct
0.500 0.500 0.500
0.000 0.000 0.500
0.000 0.500 0.000
0.500 0.000 0.000
0.000 0.000 0.000

Record 4
Pm3InRu | Alexandria via LeMat-Bulk | PBE | relaxed; DFT formation energy = -335 meV/atom; mass density = 7.91 Mg/m³; D(E_F) = 6.817 states/eV per cell; polymorph energy (0 for the lowest one) = 0 meV/atom; total magnetic moment = 0.000 μB/f.u.
1.0
-4.225 -0.930 -4.159
5.450 0.495 -2.464
0.446 -7.836 4.036
Pm Ru In
6 2 2
Direct
0.304 0.415 0.719
0.696 0.585 0.281
0.300 0.800 0.099
0.915 0.804 0.719
0.700 0.200 0.901
0.085 0.196 0.281
0.250 0.250 0.000
0.750 0.750 0.000
0.294 0.794 0.500
0.706 0.206 0.500

> Which of these has the lowest mass density?

NaTe2PdN